Here is crystalline CaSmNO at its relaxed geometry from the Alexandria database. Energies are from PBE.

```
CaSmNO
1.0
3.536 0.000 0.000
-1.768 3.063 0.000
0.000 0.000 17.244
Ca Sm N O
3 3 3 3
Cartesian
0.000 0.000 0.000 Ca
0.000 2.042 11.496 Ca
1.768 1.021 5.748 Ca
0.000 0.000 8.704 Sm
0.000 2.042 2.957 Sm
1.768 1.021 14.452 Sm
0.000 0.000 4.202 N
0.000 2.042 15.698 N
1.768 1.021 9.950 N
0.000 0.000 12.928 O
0.000 2.042 7.180 O
1.768 1.021 1.432 O
```

Results
* E_form (uncorrected): -2.1572 eV/atom
* volume: 15.563 Å³/atom